1.
Here is a relaxed structure of Zr2TaH2 from Alexandria via LeMat-Bulk. Energies are from PBE-GGA.

Summary:
Its raw total energy is -7.35 eV per atom. The value obtained for the mass density is 8615 kg/m³.

Lattice parameters (Å, degrees): 3.235 3.235 7.107 76.84 76.84 90.00
Fractional positions:
H 0.250 0.750 0.500
H 0.750 0.250 0.500
Ta 0.000 0.000 0.000
Zr 0.352 0.352 0.296
Zr 0.648 0.648 0.704

2.
Here is a relaxed structure of NdPuTeAu from Alexandria via LeMat-Bulk. Energies are from PBE-GGA.

Summary:
The uncorrected formation energy comes out at -71.3 kJ per mole of atoms. The value obtained for the mass density is 11027 kg/m³.

Lattice parameters (Å, degrees): 5.334 5.334 5.334 60.00 60.00 60.00
Site moments in Bohr magnetons follow the coordinates.
Fractional positions:
Au 0.750 0.750 0.750  0.09
Nd 0.500 0.500 0.500  0.49
Pu 0.000 0.000 0.000  5.76
Te 0.250 0.250 0.250  -0.02

3.
Here is a relaxed structure of BaBeGa from Alexandria via LeMat-Bulk. Energies are from PBE-GGA.

Summary:
Its offset from the most stable computed form is 1017 meV per atom. The value obtained for the mass density is 3610 kg/m³.

Lattice parameters (Å, degrees): 5.199 5.199 5.199 60.00 60.00 60.00
Fractional positions:
Ga 0.500 0.500 0.500
Be 0.000 0.000 0.000
Ba 0.750 0.750 0.750

4.
Here is a relaxed structure of ScSn2Au from Alexandria via LeMat-Bulk. Energies are from PBE-GGA.

Summary:
Its offset from the most stable computed form is 268 meV per atom. The value obtained for the mass density is 8766 kg/m³.

Lattice parameters (Å, degrees): 5.045 5.045 5.045 60.00 60.00 60.00
Fractional positions:
Sc 0.000 0.000 0.000
Sn 0.250 0.250 0.250
Sn 0.750 0.750 0.750
Au 0.500 0.500 0.500

5.
Here is a relaxed structure of As2PbCl from Alexandria via LeMat-Bulk. Energies are from PBE-GGA.

Summary:
The uncorrected formation energy comes out at -22.3 kJ per mole of atoms. The value obtained for the mass density is 5886 kg/m³.

Lattice parameters (Å, degrees): 6.114 3.686 4.932 85.08 90.00 90.00
Fractional positions:
As 0.000 0.520 0.585
As 0.000 0.980 0.915
Pb 0.500 0.750 0.750
Cl 0.500 0.250 0.250

6.
Here is a relaxed structure of Y3Zn2In from Alexandria via LeMat-Bulk. Energies are from PBE-GGA.

Summary:
Its raw total energy is -4.53 eV per atom. The value obtained for the mass density is 5866 kg/m³.

Lattice parameters (Å, degrees): 3.591 3.591 11.245 90.00 90.00 90.00
Fractional positions:
In 0.500 0.500 0.500
Y 0.000 0.000 0.685
Y 0.000 0.000 0.315
Y 0.000 0.000 0.000
Zn 0.500 0.500 0.154
Zn 0.500 0.500 0.846